Below is Ce2SmIO4 after structural relaxation, with properties calculated at the PBE level. Values from VASP.

```
&SYSTEM
  ibrav = 0, nat = 8, ntyp = 4
/
ATOMIC_SPECIES
Ce 140.12 Ce.upf
O 16.00 O.upf
I 126.90 I.upf
Sm 150.36 Sm.upf
CELL_PARAMETERS angstrom
-1.4127 3.2528 1.9512
-2.3250 -2.3877 2.2972
6.9699 -0.7417 6.2831
ATOMIC_POSITIONS crystal
Ce 0.5000 0.5000 0.2589
O 0.5000 0.0000 0.1515
O 0.0000 0.5000 0.8485
I 0.0000 0.0000 0.5000
Ce 0.5000 0.5000 0.7411
O 0.5000 0.0000 0.8485
O 0.0000 0.5000 0.1515
Sm 0.0000 0.0000 0.0000
```

Below is SrCe2IO8 after structural relaxation, with properties calculated at the PBE level. Values from VASP.

```
&SYSTEM
  ibrav = 0, nat = 12, ntyp = 4
/
ATOMIC_SPECIES
Sr 87.62 Sr.upf
O 16.00 O.upf
I 126.90 I.upf
Ce 140.12 Ce.upf
CELL_PARAMETERS angstrom
5.1408 0.0070 -0.0032
0.0470 5.1428 -0.0057
0.0043 0.0077 7.1575
ATOMIC_POSITIONS crystal
Sr 0.0000 0.0000 0.5000
O 0.7201 0.7213 0.0000
I 0.0000 0.0000 0.0000
O 0.2799 0.2787 0.0000
Ce 0.5000 0.5000 0.2504
O 0.8113 0.1896 0.7977
O 0.1886 0.8103 0.7977
O 0.1887 0.8104 0.2023
O 0.8114 0.1897 0.2023
O 0.6712 0.6728 0.5000
O 0.3288 0.3272 0.5000
Ce 0.5000 0.5000 0.7496
```

Below is SrCeIO2 after structural relaxation, with properties calculated at the PBE level. Values from VASP.

```
&SYSTEM
  ibrav = 0, nat = 10, ntyp = 4
/
ATOMIC_SPECIES
O 16.00 O.upf
Ce 140.12 Ce.upf
Sr 87.62 Sr.upf
I 126.90 I.upf
CELL_PARAMETERS angstrom
-3.8075 -1.3130 -1.5640
2.0258 -7.0853 1.0165
-3.7224 2.3444 7.0937
ATOMIC_POSITIONS crystal
O 0.7500 0.5029 0.8594
Ce 0.7500 0.3590 0.5962
O 0.2500 0.4971 0.1406
O 0.2500 0.4835 0.6078
Sr 0.7500 0.3413 0.0807
I 0.2500 0.0432 0.7521
I 0.7500 0.9568 0.2479
O 0.7500 0.5165 0.3922
Sr 0.2500 0.6587 0.9193
Ce 0.2500 0.6410 0.4038
```

Below is CeTaIO4 after structural relaxation, with properties calculated at the PBE level. Values from VASP.

```
&SYSTEM
  ibrav = 0, nat = 14, ntyp = 4
/
ATOMIC_SPECIES
I 126.90 I.upf
O 16.00 O.upf
Ce 140.12 Ce.upf
Ta 180.95 Ta.upf
CELL_PARAMETERS angstrom
-6.0383 2.4127 -2.4077
-5.1983 -4.5352 -0.6993
-4.1013 0.8477 5.4638
ATOMIC_POSITIONS crystal
I 0.9994 0.9994 0.2553
O 0.4910 0.0961 0.1603
O 0.9039 0.5090 0.8397
Ce 0.2603 0.2603 0.8506
O 0.5090 0.9039 0.8397
O 0.3313 0.3313 0.5128
O 0.4496 0.4496 0.8574
I 0.0006 0.0006 0.7447
Ta 0.3786 0.3786 0.2266
Ta 0.6214 0.6214 0.7734
O 0.0961 0.4910 0.1603
Ce 0.7397 0.7397 0.1494
O 0.5504 0.5504 0.1426
O 0.6687 0.6687 0.4872
```

Below is CeTlIO6 after structural relaxation, with properties calculated at the PBE level. Values from VASP.

```
&SYSTEM
  ibrav = 0, nat = 9, ntyp = 4
/
ATOMIC_SPECIES
O 16.00 O.upf
Ce 140.12 Ce.upf
Tl 204.38 Tl.upf
I 126.90 I.upf
CELL_PARAMETERS angstrom
5.7660 0.0002 0.0002
2.8833 4.9934 -0.0002
0.0003 -0.0005 5.9651
ATOMIC_POSITIONS crystal
O 0.5928 0.0476 0.3184
O 0.0476 0.5929 0.6816
O 0.5928 0.3596 0.6816
O 0.3595 0.0477 0.6816
O 0.3596 0.5928 0.3184
O 0.0476 0.3595 0.3184
Ce 0.6666 0.6667 0.5000
Tl 0.9999 0.0000 0.0000
I 0.3333 0.3334 0.5000
```

Below is CeTl2IO6 after structural relaxation, with properties calculated at the PBE level. Values from VASP.

```
&SYSTEM
  ibrav = 0, nat = 10, ntyp = 4
/
ATOMIC_SPECIES
I 126.90 I.upf
O 16.00 O.upf
Tl 204.38 Tl.upf
Ce 140.12 Ce.upf
CELL_PARAMETERS angstrom
6.0701 0.0000 0.0002
0.0000 6.0701 0.0000
-3.0353 -3.0352 4.2921
ATOMIC_POSITIONS crystal
I 0.9999 0.0004 0.9998
O 0.7657 0.2346 0.9997
Tl 0.7499 0.2505 0.4999
O 0.2340 0.2345 0.9997
O 0.7657 0.7662 0.5315
O 0.2341 0.7662 0.9997
Tl 0.2500 0.7504 0.4999
O 0.2341 0.2346 0.4681
O 0.7657 0.7662 0.9997
Ce 0.4999 0.5004 0.9998
```

Below is CeTl2I2O2 after structural relaxation, with properties calculated at the PBE level. Values from VASP.

```
&SYSTEM
  ibrav = 0, nat = 7, ntyp = 4
/
ATOMIC_SPECIES
Tl 204.38 Tl.upf
O 16.00 O.upf
Ce 140.12 Ce.upf
I 126.90 I.upf
CELL_PARAMETERS angstrom
-0.7174 -4.2875 -1.1455
4.4042 -0.5453 -0.7175
-0.6268 -0.3426 10.4964
ATOMIC_POSITIONS crystal
Tl 0.6073 0.6073 0.2145
O 0.5000 0.0000 0.0000
O 0.0000 0.5000 0.0000
Tl 0.3927 0.3927 0.7855
Ce 0.0000 0.0000 0.0000
I 0.1661 0.1661 0.3322
I 0.8339 0.8339 0.6678
```

Number 1: magnetic moment 0.25 μB/atom, raw formation energy -70.8 kcal/mol of atoms. Number 2: magnetic moment 0.00 μB/atom, raw formation energy -51.3 kcal/mol of atoms. Number 3: magnetic moment 0.20 μB/atom, raw formation energy -63.0 kcal/mol of atoms. Number 4: magnetic moment 0.04 μB/atom, raw formation energy -61.7 kcal/mol of atoms. Number 5: magnetic moment 0.00 μB/atom, raw formation energy -31.2 kcal/mol of atoms. Number 6: magnetic moment 0.00 μB/atom, raw formation energy -29.7 kcal/mol of atoms. Number 7: magnetic moment 0.00 μB/atom, raw formation energy -36.7 kcal/mol of atoms.